# PuUCrTc

A geometry-optimized PuUCrTc structure (GGA-PBE, Alexandria).

Computed properties:
The value obtained for the formation enthalpy at 0 K is 47 kJ/mol of formula units. Its magnetic moment is 0.545 μB/atom. The crystal system is cubic. As for the uncorrected energy: -11.28 eV/atom.

Cell: 4.577 4.577 4.577 Å, 60.00 60.00 60.00°
Sites, in units of the cell vectors:
Pu 0.000 0.000 0.000
U 0.750 0.750 0.750
Cr 0.500 0.500 0.500
Tc 0.250 0.250 0.250

# SmBRh

A geometry-optimized SmBRh structure (GGA-PBE, Alexandria).

Computed properties:
The value obtained for the formation enthalpy at 0 K is -112 kJ/mol of formula units. Its magnetic moment is 0.000 μB/atom. The crystal system is orthorhombic. As for the uncorrected energy: -6.64 eV/atom.

Cell: 3.675 4.363 6.451 Å, 90.00 90.00 90.00°
Sites, in units of the cell vectors:
Sm 0.250 0.250 0.185
Sm 0.750 0.750 0.815
B 0.250 0.750 0.505
B 0.750 0.250 0.495
Rh 0.250 0.250 0.660
Rh 0.750 0.750 0.340

# Mg6GaFe

A geometry-optimized Mg6GaFe structure (GGA-PBE, Alexandria).

Computed properties:
The value obtained for the formation enthalpy at 0 K is 74 kJ/mol of formula units. Its magnetic moment is 0.273 μB/atom. The crystal system is orthorhombic. As for the uncorrected energy: -2.54 eV/atom.

Cell: 4.914 6.055 6.055 Å, 60.04 90.00 90.00°
Sites, in units of the cell vectors:
Mg 0.000 0.000 0.000
Mg 0.000 0.481 0.997
Mg 0.000 0.496 0.496
Mg 0.000 0.997 0.481
Mg 0.500 0.158 0.660
Mg 0.500 0.660 0.158
Ga 0.500 0.658 0.658
Fe 0.500 0.158 0.158

# RbTiIn2Br6

A geometry-optimized RbTiIn2Br6 structure (GGA-PBE, Alexandria).

Computed properties:
Its magnetic moment is 0.100 μB/atom. The crystal system is triclinic. The formation energy without anion corrections comes out at -1071 meV/atom. As for the uncorrected energy: -3.51 eV/atom.

Cell: 7.975 7.986 8.267 Å, 61.18 61.17 60.05°
Sites, in units of the cell vectors:
Rb 0.000 0.000 0.000
Ti 0.509 0.509 0.472
In 0.199 0.198 0.405
In 0.709 0.709 0.872
Br 0.185 0.725 0.680
Br 0.321 0.595 0.238
Br 0.410 0.185 0.680
Br 0.595 0.845 0.238
Br 0.726 0.410 0.680
Br 0.845 0.323 0.237

# CdAsAu2

A geometry-optimized CdAsAu2 structure (GGA-PBE, Alexandria).

Computed properties:
The value obtained for the formation enthalpy at 0 K is 3 kJ/mol of formula units. Its magnetic moment is 0.000 μB/atom. The crystal system is monoclinic. As for the uncorrected energy: -3.02 eV/atom.

Cell: 2.894 4.990 5.485 Å, 90.00 90.22 90.00°
Sites, in units of the cell vectors:
Cd 0.000 0.000 0.000
As 0.506 0.500 0.642
Au 0.502 0.500 0.144
Au 0.503 0.000 0.493

# Hf6Ir2N

A geometry-optimized Hf6Ir2N structure (GGA-PBE, Alexandria).

Computed properties:
Its magnetic moment is 0.000 μB/atom. The crystal system is monoclinic. The formation energy without anion corrections comes out at -839 meV/atom. As for the uncorrected energy: -10.37 eV/atom.

Cell: 5.947 6.413 10.590 Å, 90.00 122.55 90.00°
Sites, in units of the cell vectors:
Hf 0.130 0.019 0.244
Hf 0.130 0.481 0.744
Hf 0.236 0.693 0.053
Hf 0.236 0.807 0.553
Hf 0.362 0.185 0.054
Hf 0.362 0.315 0.554
Hf 0.638 0.685 0.446
Hf 0.638 0.815 0.946
Hf 0.764 0.193 0.447
Hf 0.764 0.307 0.947
Hf 0.870 0.519 0.256
Hf 0.870 0.981 0.756
Ir 0.302 0.097 0.755
Ir 0.302 0.403 0.255
Ir 0.698 0.597 0.745
Ir 0.698 0.903 0.245
N 0.000 0.000 0.000
N 0.000 0.500 0.500

# KCr2As

A geometry-optimized KCr2As structure (GGA-PBE, Alexandria).

Computed properties:
The value obtained for the formation enthalpy at 0 K is 190 kJ/mol of formula units. Its magnetic moment is 2.064 μB/atom. The crystal system is trigonal. As for the uncorrected energy: -5.76 eV/atom.

Cell: 6.911 6.911 6.911 Å, 37.13 37.13 37.13°
Sites, in units of the cell vectors:
K 0.000 0.000 0.000
Cr 0.196 0.196 0.196
Cr 0.804 0.804 0.804
As 0.500 0.500 0.500

# NdSc5Tl4

A geometry-optimized NdSc5Tl4 structure (GGA-PBE, Alexandria).

Computed properties:
The value obtained for the formation enthalpy at 0 K is -198 kJ/mol of formula units. Its magnetic moment is 0.024 μB/atom. The crystal system is tetragonal. As for the uncorrected energy: -4.79 eV/atom.

Cell: 3.438 3.438 20.837 Å, 90.00 90.00 90.00°
Sites, in units of the cell vectors:
Nd 0.000 0.000 0.000
Sc 0.500 0.500 0.118
Sc 0.500 0.500 0.307
Sc 0.500 0.500 0.500
Sc 0.500 0.500 0.693
Sc 0.500 0.500 0.882
Tl 0.000 0.000 0.211
Tl 0.000 0.000 0.404
Tl 0.000 0.000 0.596
Tl 0.000 0.000 0.789